Record 1
This record from Alexandria via LeMat-Bulk describes CeZrB2O8 after structural relaxation. The functional is PBE-GGA.

Results
**ΔE_f (raw)**: -2.4316 eV/atom
**Energy**: -96.682 eV per formula unit
**Mass density**: 5.38 Mg/m³

Lattice parameters (Å, degrees): 4.6239 4.6239 6.3942 111.20 111.20 90.00
With the nearest neighbours (Å) after each atom.
Fractional coordinates of all 12 atoms:
O (0.2863, 0.9199, 0.3503)  1 B 1.49
O (0.7007, 0.8118, 0.1336)  1 B 1.49
O (0.0639, 0.4304, 0.3503)  1 B 1.49
O (0.4329, 0.3218, 0.1336)  1 B 1.49
O (0.5696, 0.7137, 0.6497)  1 B 1.49
O (0.6782, 0.2993, 0.8664)  1 B 1.49
O (0.1882, 0.5671, 0.8664)  1 B 1.49
O (0.0801, 0.9361, 0.6497)  1 B 1.49
Zr (0.0000, 0.0000, 0.0000)  8 O 2.19-2.32
B (0.2500, 0.7500, 0.5000)  4 O 1.49
B (0.5000, 0.5000, 0.0000)  4 O 1.49
Ce (0.7500, 0.2500, 0.5000)  8 O 2.30-2.41



Record 2
This record from Alexandria via LeMat-Bulk describes CeBOs after structural relaxation. The functional is PBE-GGA.

Results
**Energy**: -24.336 eV per formula unit
**Energy relative to the elements**: -0.1650 eV/atom
**Mass density**: 12.47 Mg/m³

Lattice parameters (Å, degrees): 2.9533 2.9533 5.6104 105.26 105.26 90.00
With the nearest neighbours (Å) after each atom.
Fractional coordinates of all 3 atoms:
Ce (0.0054, 0.0054, 0.0108)  5 Os 2.90-3.11, 4 Ce 2.95, 5 B 2.99-3.07
Os (0.2837, 0.2837, 0.5674)  4 B 2.22
B (0.7109, 0.7109, 0.4218)  4 Os 2.22